PmUAl4 | GGA-PBE | relaxed

The structure in CIF format:
```
data_PmUAl4
_chemical_formula_sum 'Pm4 U4 Al16'
_space_group_name_H-M_alt 'F -4 3 m'
_space_group_IT_number 216
_space_group_name_Hall 'F -4 2 3'
_cell_length_a 7.9020
_cell_length_b 7.9020
_cell_length_c 7.9020
_cell_angle_alpha 90.00
_cell_angle_beta 90.00
_cell_angle_gamma 90.00
loop_
_atom_site_label
_atom_site_fract_x
_atom_site_fract_y
_atom_site_fract_z
Pm1 0.0000 0.0000 0.0000
U1 0.2500 0.2500 0.7500
Al1 0.1243 0.1243 0.3757
```

**Size of the total moment**: 2.75 μB per formula unit
**E_tot**: -5.3964 eV per atom
**ρ**: 6.6 Mg/m³
**Crystal system**: cubic

=====

TmTlPbBr6 | GGA-PBE | relaxed

The structure in CIF format:
```
data_TmTlPbBr6
_chemical_formula_sum 'Tm1 Tl1 Pb1 Br6'
_space_group_name_H-M_alt 'P 3 1 2'
_space_group_IT_number 149
_cell_length_a 7.5941
_cell_length_b 7.5941
_cell_length_c 7.1414
_cell_angle_alpha 90.00
_cell_angle_beta 90.00
_cell_angle_gamma 120.00
loop_
_space_group_symop_operation_xyz
'x,y,z'
'-y,x-y,z'
'-x+y,-x,z'
'-y,-x,-z'
'-x+y,y,-z'
'x,x-y,-z'
loop_
_atom_site_label
_atom_site_fract_x
_atom_site_fract_y
_atom_site_fract_z
Tm1 0.0000 0.0000 0.0000
Tl1 0.6667 0.3333 0.5000
Pb1 0.3333 0.6667 0.0000
Br1 0.0174 0.3063 0.7727
```

**Formation energy (no corrections)**: -1.343 eV per atom
**Size of the total moment**: 0.00 μB per formula unit
**ρ**: 4.9 Mg/m³
**Crystal system**: trigonal

=====

Ta3Nb7Mo2 | GGA-PBE | relaxed

The structure in CIF format:
```
data_Ta3Nb7Mo2
_chemical_formula_sum 'Ta6 Nb14 Mo4'
_space_group_name_H-M_alt 'C m m m'
_space_group_IT_number 65
_space_group_name_Hall '-C 2 2'
_cell_length_a 4.5525
_cell_length_b 21.8860
_cell_length_c 4.6972
_cell_angle_alpha 90.00
_cell_angle_beta 90.00
_cell_angle_gamma 90.00
loop_
_atom_site_label
_atom_site_fract_x
_atom_site_fract_y
_atom_site_fract_z
Ta1 0.0000 0.0000 0.0000
Ta2 0.0000 0.1520 0.0000
Nb1 0.0000 0.0775 0.5000
Nb2 0.0000 0.2183 0.5000
Nb3 0.0000 0.4226 0.0000
Nb4 0.0000 0.5000 0.5000
Mo1 0.0000 0.3536 0.5000
```

**Size of the total moment**: 0.00 μB per formula unit
**E_tot**: -10.2173 eV per atom
**ρ**: 9.8 Mg/m³
**Crystal system**: orthorhombic

=====

TaTeF | GGA-PBE | relaxed

The structure in CIF format:
```
data_TaTeF
_chemical_formula_sum 'Ta2 Te2 F2'
_space_group_name_H-M_alt 'P -1'
_space_group_IT_number 2
_cell_length_a 3.3210
_cell_length_b 5.5657
_cell_length_c 7.4428
_cell_angle_alpha 73.66
_cell_angle_beta 89.92
_cell_angle_gamma 89.99
loop_
_space_group_symop_operation_xyz
'x,y,z'
'-x,-y,-z'
loop_
_atom_site_label
_atom_site_fract_x
_atom_site_fract_y
_atom_site_fract_z
Ta1 0.2501 0.2077 0.4062
Te1 0.2509 0.7782 0.2902
F1 0.2492 0.6746 0.7913
```

**Formation energy (no corrections)**: -1.281 eV per atom
**Size of the total moment**: 0.00 μB per formula unit
**ρ**: 8.2 Mg/m³
**Crystal system**: triclinic

=====

TaTi2W6 | GGA-PBE | relaxed

The structure in CIF format:
```
data_TaTi2W6
_chemical_formula_sum 'Ta2 Ti4 W12'
_space_group_name_H-M_alt 'C 1 2/m 1'
_space_group_IT_number 12
_cell_length_a 13.1679
_cell_length_b 4.4956
_cell_length_c 5.2971
_cell_angle_alpha 90.00
_cell_angle_beta 110.95
_cell_angle_gamma 90.00
loop_
_space_group_symop_operation_xyz
'x,y,z'
'-x,-y,-z'
'-x,y,-z'
'x,-y,z'
'x+1/2,y+1/2,z'
'-x+1/2,-y+1/2,-z'
'-x+1/2,y+1/2,-z'
'x+1/2,-y+1/2,z'
loop_
_atom_site_label
_atom_site_fract_x
_atom_site_fract_y
_atom_site_fract_z
Ta1 0.0000 0.0000 0.0000
Ti1 0.1136 0.0000 0.5658
W1 0.0545 0.5000 0.7738
W2 0.1658 0.5000 0.3296
W3 0.2250 0.0000 0.1223
```

**Size of the total moment**: 0.00 μB per formula unit
**ρ**: 15.6 Mg/m³
**E above lowest polymorph**: 0.0000 eV/atom
**Crystal system**: monoclinic

=====

BeCu2Os | GGA-PBE | relaxed

The structure in CIF format:
```
data_BeCu2Os
_chemical_formula_sum 'Be2 Cu4 Os2'
_space_group_name_H-M_alt 'C 1 2/m 1'
_space_group_IT_number 12
_cell_length_a 4.8290
_cell_length_b 8.7709
_cell_length_c 2.5220
_cell_angle_alpha 90.00
_cell_angle_beta 115.45
_cell_angle_gamma 90.00
loop_
_space_group_symop_operation_xyz
'x,y,z'
'-x,-y,-z'
'-x,y,-z'
'x,-y,z'
'x+1/2,y+1/2,z'
'-x+1/2,-y+1/2,-z'
'-x+1/2,y+1/2,-z'
'x+1/2,-y+1/2,z'
loop_
_atom_site_label
_atom_site_fract_x
_atom_site_fract_y
_atom_site_fract_z
Be1 0.0000 0.0000 0.0000
Cu1 0.2500 0.2500 0.5000
Os1 0.0000 0.5000 0.0000
```

**Size of the total moment**: 0.00 μB per formula unit
**E_tot**: -5.6072 eV per atom
**ρ**: 11.2 Mg/m³
**Crystal system**: monoclinic